This record from the Alexandria database describes Li2ZnS2 after structural relaxation. The functional is PBE.

Results
formation energy (no corrections) = -377 kJ/mol of formula units
N(E_F) = 0.0 states/eV per cell
raw total energy = -3.454 eV/atom

a b c (Å): 6.724 6.724 3.628
angles (deg): 90.00 90.00 90.00
Positions (direct):
Li: 0.136 0.364 0.000
Li: 0.364 0.864 0.000
Li: 0.636 0.136 0.000
Li: 0.864 0.636 0.000
Zn: 0.000 0.000 0.500
Zn: 0.500 0.500 0.500
S: 0.181 0.681 0.500
S: 0.319 0.181 0.500
S: 0.681 0.819 0.500
S: 0.819 0.319 0.500